Material: BeCuIr2
Method: DFT, PBE-GGA
State: relaxed

a b c (Å): 4.9332 4.9332 4.1724
angles (deg): 64.16 64.16 32.93
Last column: nearest neighbours and their distance in Å.
Sites, in units of the cell vectors:
Be: 0.4977 0.4977 0.5191  2 Cu 2.33, 6 Ir 2.38-2.53
Ir: 0.2266 0.2266 0.2589  2 Be 2.38, 4 Cu 2.54-2.55
Ir: 0.9979 0.9979 0.0140  4 Be 2.49-2.53, 3 Ir 2.68-2.78, 3 Cu 2.69-2.74
Cu: 0.7779 0.7779 0.7079  2 Be 2.33, 4 Ir 2.54-2.55

## Properties
formation energy from the elements: -0.28 eV/f.u.
density of states at the Fermi level: 1.04 states/eV/atom
V: 49.17 Å³/cell
ρ: 15.43 Mg/m³
final energy: -6.456 eV/atom

Material: Be2CuIr
Method: DFT, PBE-GGA
State: relaxed

a b c (Å): 3.5910 3.5910 8.0659
angles (deg): 77.14 77.14 90.00
Last column: nearest neighbours and their distance in Å.
Sites, in units of the cell vectors:
Ir: 0.7500 0.2500 0.5000  4 Be 2.26
Ir: 0.0000 0.0000 0.0000  4 Be 2.26
Be: 0.0976 0.6250 0.2500  2 Ir 2.26, 2 Cu 2.34, 2 Be 2.40
Be: 0.8750 0.9024 0.7500  2 Ir 2.26, 2 Cu 2.34, 2 Be 2.40
Be: 0.3750 0.3476 0.7500  2 Ir 2.26, 2 Cu 2.34, 2 Be 2.40
Be: 0.6524 0.1250 0.2500  2 Ir 2.26, 2 Cu 2.34, 2 Be 2.40
Cu: 0.2500 0.7500 0.5000  4 Be 2.34, 4 Ir 2.54
Cu: 0.5000 0.5000 0.0000  4 Be 2.34, 4 Ir 2.54

## Properties
formation energy from the elements: 0.90 eV/f.u.
density of states at the Fermi level: 0.48 states/eV/atom
V: 98.73 Å³/cell
ρ: 9.21 Mg/m³
final energy: -4.878 eV/atom

Material: Be4CuIr
Method: DFT, PBE-GGA
State: relaxed

a b c (Å): 4.3039 4.3039 4.3039
angles (deg): 60.00 60.00 60.00
Last column: nearest neighbours and their distance in Å.
Sites, in units of the cell vectors:
Be: 0.3751 0.8747 0.3751  6 Be 2.15
Be: 0.3751 0.3751 0.8747  6 Be 2.15
Be: 0.3751 0.3751 0.3751  6 Be 2.15
Be: 0.8747 0.3751 0.3751  6 Be 2.15
Ir: 0.0000 0.0000 0.0000  12 Be 2.52, 4 Cu 2.64
Cu: 0.7500 0.7500 0.7500  12 Be 2.52, 4 Ir 2.64

## Properties
formation energy from the elements: -1.99 eV/f.u.
density of states at the Fermi level: 0.30 states/eV/atom
V: 56.37 Å³/cell
ρ: 8.60 Mg/m³
final energy: -4.976 eV/atom

Material: BeCuIr2
Method: DFT, PBE-GGA
State: relaxed

a b c (Å): 2.8276 2.8276 6.0990
angles (deg): 90.00 90.00 90.00
Last column: nearest neighbours and their distance in Å.
Sites, in units of the cell vectors:
Cu: 0.5000 0.5000 0.7500  8 Ir 2.62, 4 Cu 2.83
Be: 0.5000 0.5000 0.2500  8 Ir 2.41
Ir: 0.0000 0.0000 0.4713  4 Be 2.41, 4 Cu 2.62, 1 Ir 2.70
Ir: 0.0000 0.0000 0.0287  4 Be 2.41, 4 Cu 2.62, 1 Ir 2.70

## Properties
formation energy from the elements: -0.54 eV/f.u.
density of states at the Fermi level: 1.04 states/eV/atom
V: 48.76 Å³/cell
ρ: 15.56 Mg/m³
final energy: -6.521 eV/atom

Material: Be3Cu2Ir
Method: DFT, PBE-GGA
State: relaxed

a b c (Å): 3.9122 6.1768 5.3970
angles (deg): 90.00 90.00 71.54
Last column: nearest neighbours and their distance in Å.
Sites, in units of the cell vectors:
Cu: 0.6630 0.6740 0.5000  8 Be 2.33-2.38
Cu: 0.3370 0.3260 0.5000  8 Be 2.33-2.38
Cu: 0.0000 0.0000 0.0000  8 Be 2.38-2.40
Cu: 0.0000 0.0000 0.5000  8 Be 2.37-2.42
Be: 0.8296 0.3408 0.2480  3 Ir 2.37-2.39, 5 Cu 2.38-2.42
Be: 0.5000 0.0000 0.7473  2 Ir 2.33, 6 Cu 2.33-2.38
Be: 0.1704 0.6592 0.2480  3 Ir 2.37-2.39, 5 Cu 2.38-2.42
Be: 0.8296 0.3408 0.7520  3 Ir 2.37-2.39, 5 Cu 2.38-2.42
Be: 0.1704 0.6592 0.7520  3 Ir 2.37-2.39, 5 Cu 2.38-2.42
Be: 0.5000 0.0000 0.2527  2 Ir 2.33, 6 Cu 2.33-2.38
Ir: 0.6611 0.6777 0.0000  8 Be 2.33-2.39
Ir: 0.3389 0.3223 0.0000  8 Be 2.33-2.39

## Properties
formation energy from the elements: -1.76 eV/f.u.
density of states at the Fermi level: 0.23 states/eV/atom
V: 123.70 Å³/cell
ρ: 9.30 Mg/m³
final energy: -4.999 eV/atom

Material: Be4CuIr3
Method: DFT, PBE-GGA
State: relaxed

a b c (Å): 2.8207 2.8207 10.9365
angles (deg): 90.00 90.00 90.00
Last column: nearest neighbours and their distance in Å.
Sites, in units of the cell vectors:
Ir: 0.5000 0.5000 0.5000  8 Be 2.44
Ir: 0.5000 0.5000 0.7571  8 Be 2.34-2.44
Ir: 0.5000 0.5000 0.2429  8 Be 2.34-2.44
Be: 0.0000 0.0000 0.6286  8 Ir 2.44, 1 Be 2.62
Be: 0.0000 0.0000 0.8684  4 Ir 2.34, 4 Cu 2.46
Be: 0.0000 0.0000 0.3714  8 Ir 2.44, 1 Be 2.62
Be: 0.0000 0.0000 0.1316  4 Ir 2.34, 4 Cu 2.46
Cu: 0.5000 0.5000 0.0000  8 Be 2.46, 2 Ir 2.66

## Properties
formation energy from the elements: -3.81 eV/f.u.
density of states at the Fermi level: 0.57 states/eV/atom
V: 87.01 Å³/cell
ρ: 12.91 Mg/m³
final energy: -6.174 eV/atom